Entry 1:
# PBE-GGA Y4BeAl, optimized geometry
# E_form   0.700 eV/atom
data_Y4BeAl
_space_group_name_H-M_alt 'F -4 3 m'
_space_group_IT_number 216
_space_group_name_Hall 'F -4 2 3'
_cell_length_a 8.723
_cell_length_b 8.723
_cell_length_c 8.723
_cell_angle_alpha 90.00
_cell_angle_beta 90.00
_cell_angle_gamma 90.00
loop_
_atom_site_label
_atom_site_type_symbol
_atom_site_fract_x
_atom_site_fract_y
_atom_site_fract_z
_atom_site_occupancy
Y1 Y 0.125 0.125 0.125 1
Be1 Be 0.000 0.000 0.500 1
Al1 Al 0.250 0.250 0.750 1

Entry 2:
# PBE-GGA Y2BeAl, optimized geometry
# E_form   0.080 eV/atom
# Relative energy among the computed polymorphs   102 kJ/mol of formula units
data_Y2BeAl
_space_group_name_H-M_alt 'I -4 m 2'
_space_group_IT_number 119
_space_group_name_Hall 'I -4 -2'
_cell_length_a 4.243
_cell_length_b 4.243
_cell_length_c 9.927
_cell_angle_alpha 90.00
_cell_angle_beta 90.00
_cell_angle_gamma 90.00
loop_
_atom_site_label
_atom_site_type_symbol
_atom_site_fract_x
_atom_site_fract_y
_atom_site_fract_z
_atom_site_occupancy
Y1 Y 0.000 0.000 0.000 1
Y2 Y 0.000 0.500 0.250 1
Be1 Be 0.000 0.000 0.500 1
Al1 Al 0.000 0.500 0.750 1

Entry 3:
# PBE-GGA YBeAl, optimized geometry
# E_form   -0.274 eV/atom
# Relative energy among the computed polymorphs   1 kJ/mol of formula units
data_YBeAl
_space_group_name_H-M_alt 'P m m a'
_space_group_IT_number 51
_cell_length_a 12.520
_cell_length_b 3.874
_cell_length_c 6.865
_cell_angle_alpha 90.00
_cell_angle_beta 90.00
_cell_angle_gamma 90.00
loop_
_space_group_symop_operation_xyz
'x,y,z'
'-x,-y,-z'
'-x+1/2,-y,z'
'x+1/2,y,-z'
'x+1/2,-y,-z'
'-x+1/2,y,z'
'-x,y,-z'
'x,-y,z'
loop_
_atom_site_label
_atom_site_type_symbol
_atom_site_fract_x
_atom_site_fract_y
_atom_site_fract_z
_atom_site_occupancy
Y1 Y 0.044 0.000 0.246 1
Y2 Y 0.250 0.000 0.628 1
Be1 Be 0.085 0.500 0.548 1
Be2 Be 0.250 0.000 0.047 1
Al1 Al 0.141 0.500 0.916 1
Al2 Al 0.250 0.500 0.280 1

Entry 4:
# PBE-GGA Y2BeAl, optimized geometry
# E_form   -0.164 eV/atom
# Relative energy among the computed polymorphs   7 kJ/mol of formula units
data_Y2BeAl
_space_group_name_H-M_alt 'A m m 2'
_space_group_IT_number 38
_cell_length_a 4.247
_cell_length_b 3.717
_cell_length_c 11.536
_cell_angle_alpha 90.00
_cell_angle_beta 90.00
_cell_angle_gamma 90.00
loop_
_space_group_symop_operation_xyz
'x,y,z'
'-x,-y,z'
'-x,y,z'
'x,-y,z'
'x,y+1/2,z+1/2'
'-x,-y+1/2,z+1/2'
'-x,y+1/2,z+1/2'
'x,-y+1/2,z+1/2'
loop_
_atom_site_label
_atom_site_type_symbol
_atom_site_fract_x
_atom_site_fract_y
_atom_site_fract_z
_atom_site_occupancy
Y1 Y 0.000 0.000 0.000 1
Y2 Y 0.500 0.000 0.303 1
Be1 Be 0.000 0.000 0.712 1
Al1 Al 0.500 0.000 0.594 1

Entry 5:
# PBE-GGA Y2BeAl, optimized geometry
# E_form   0.124 eV/atom
# Relative energy among the computed polymorphs   119 kJ/mol of formula units
data_Y2BeAl
_space_group_name_H-M_alt 'C 1 2/m 1'
_space_group_IT_number 12
_cell_length_a 8.906
_cell_length_b 3.606
_cell_length_c 6.223
_cell_angle_alpha 90.00
_cell_angle_beta 103.87
_cell_angle_gamma 90.00
loop_
_space_group_symop_operation_xyz
'x,y,z'
'-x,-y,-z'
'-x,y,-z'
'x,-y,z'
'x+1/2,y+1/2,z'
'-x+1/2,-y+1/2,-z'
'-x+1/2,y+1/2,-z'
'x+1/2,-y+1/2,z'
loop_
_atom_site_label
_atom_site_type_symbol
_atom_site_fract_x
_atom_site_fract_y
_atom_site_fract_z
_atom_site_occupancy
Y1 Y 0.243 0.000 0.234 1
Be1 Be 0.000 0.500 0.000 1
Al1 Al 0.000 0.000 0.500 1

Entry 6:
# PBE-GGA Y2BeAl, optimized geometry
# E_form   -0.183 eV/atom
# Relative energy among the computed polymorphs   0 kJ/mol of formula units
data_Y2BeAl
_space_group_name_H-M_alt 'P 4/m m m'
_space_group_IT_number 123
_space_group_name_Hall '-P 4 2'
_cell_length_a 3.486
_cell_length_b 3.486
_cell_length_c 7.150
_cell_angle_alpha 90.00
_cell_angle_beta 90.00
_cell_angle_gamma 90.00
loop_
_atom_site_label
_atom_site_type_symbol
_atom_site_fract_x
_atom_site_fract_y
_atom_site_fract_z
_atom_site_occupancy
Y1 Y 0.000 0.000 0.231 1
Be1 Be 0.500 0.500 0.000 1
Al1 Al 0.500 0.500 0.500 1

Look up the E_form of the third one.
-0.274 eV/atom